The following is a DFT calculation (PBE+U) of a geometry-optimized Na3Sm2MnO6 structure.

Output
As for the space group: C2/m. Its uncorrected energy is -6.493 eV per atom. The calculation puts the size of the total moment at 4.000 μB per formula unit.

a b c (Å): 5.8856 5.8856 5.8818
angles (deg): 99.11 99.11 120.56
Element x y z (fractional)
Na (0.0000, 0.0000, 0.0000)
Na (0.3429, 0.6571, 0.0000)
Na (0.6571, 0.3429, 0.0000)
Sm (0.1699, 0.8301, 0.5000)
Sm (0.8301, 0.1699, 0.5000)
Mn (0.5000, 0.5000, 0.5000)
O (0.1090, 0.4273, 0.2792)
O (0.2752, 0.2752, 0.6926)
O (0.4273, 0.1090, 0.2792)
O (0.5727, 0.8910, 0.7208)
O (0.7248, 0.7248, 0.3074)
O (0.8910, 0.5727, 0.7208)